Material: ScTiTl3
Method: DFT, GGA-PBE
State: relaxed

Unit cell a=5.282 b=5.282 c=5.282 alpha=90.00 beta=90.00 gamma=90.00
Fractional coordinates of all 5 atoms:
Sc 0.000 0.000 0.000
Ti 0.500 0.500 0.500
Tl 0.000 0.500 0.500
Tl 0.500 0.000 0.500
Tl 0.500 0.500 0.000

Properties
Calculated total energy: -3.7817 eV per atom
DFT formation energy: 0.48 eV per atom
Space-group type: No. 221